## one
8
Lattice="-3.330 -5.580 4.715 5.561 -5.297 -2.341 2.539 -4.749 3.009" Properties=species:S:1:pos:R:3 comment="NaTc2Br, relaxed, DFT PBE" n_ef_per_ev_atom=1.279 vol_a3_per_cell=155.5 m_tot_mub_per_fu=0.0 spacegroup="No. 122" pbc="T T T"
Na 1.115 -5.439 1.187
Na 4.608 -7.742 0.928
Tc -0.959 -5.684 3.700
Tc 3.901 -4.848 -0.415
Tc 2.395 -7.311 3.293
Tc 4.202 -13.409 4.189
Br 0.000 0.000 0.000
Br 0.162 -7.884 4.456

## two
4
Lattice="0.000 3.176 3.176 3.176 0.000 3.176 3.176 3.176 0.000" Properties=species:S:1:pos:R:3 comment="NaTc2Br, relaxed, DFT PBE" n_ef_per_ev_atom=1.316 vol_a3_per_cell=64.0 m_tot_mub_per_fu=0.0 spacegroup="No. 225" pbc="T T T"
Na 0.000 0.000 0.000
Tc 1.588 1.588 1.588
Tc 4.763 4.763 4.763
Br 3.176 3.176 3.176

Order of stability, best first: one, two